No. 1
Density functional theory data (PBE) for crystalline LaTaOs2 at its relaxed geometry.

a b c (Å): 3.1256 4.8798 9.7195
angles (deg): 90.00 90.00 90.00
Space group Cmm2 (No. 35)
Asymmetric unit:
La1 0.0000 0.0000 0.0000 (multiplicity 2)
Ta1 0.0000 0.5000 0.3028 (multiplicity 2)
Os1 0.0000 0.0000 0.5158 (multiplicity 2)
Os2 0.0000 0.5000 0.7420 (multiplicity 2)

Computed properties:
As for the formation energy: 59 kJ/mol of atoms. The density of states at the Fermi level comes out at 1.108 states/eV per atom. The value obtained for the calculated density is 15.69 Mg/m³. The total energy is -9.20 eV/atom. The value obtained for the total moment is 0.0 μB/f.u.

No. 2
Density functional theory data (PBE) for crystalline PmCo4C4 at its relaxed geometry.

a b c (Å): 4.8759 4.8759 7.1684
angles (deg): 90.00 90.00 90.00
Space group P4_2/nmc (No. 137, origin choice 2)
Asymmetric unit:
Pm1 0.2500 0.7500 0.2500 (multiplicity 2)
Co1 0.0043 0.7500 0.6061 (multiplicity 8)
C1 0.1006 0.2500 0.0999 (multiplicity 8)

Computed properties:
As for the formation energy: 19 kJ/mol of atoms. The density of states at the Fermi level comes out at 0.885 states/eV per atom. The value obtained for the calculated density is 8.36 Mg/m³. The total energy is -7.59 eV/atom. The value obtained for the total moment is 0.0 μB/f.u.

No. 3
Density functional theory data (PBE) for crystalline Be4FeAs2 at its relaxed geometry.

a b c (Å): 4.0468 4.0468 11.8185
angles (deg): 90.00 90.00 90.00
Space group I4/mmm (No. 139)
Asymmetric unit:
Be1 0.0000 0.0000 0.1792 (multiplicity 4)
Be2 0.0000 0.5000 0.0000 (multiplicity 4)
Fe1 0.0000 0.0000 0.0000 (multiplicity 2)
As1 0.0000 0.0000 0.3670 (multiplicity 4)

Computed properties:
As for the formation energy: 60 kJ/mol of atoms. The density of states at the Fermi level comes out at 0.458 states/eV per atom. The value obtained for the calculated density is 4.15 Mg/m³. The total energy is -4.05 eV/atom. The value obtained for the total moment is 1.5 μB/f.u.

No. 4
Density functional theory data (PBE) for crystalline Cs2NaH6Ir at its relaxed geometry.

a b c (Å): 8.6589 8.6589 8.6589
angles (deg): 90.00 90.00 90.00
Space group Fm-3m (No. 225)
Asymmetric unit:
Cs1 0.2500 0.2500 0.2500 (multiplicity 8)
Na1 0.0000 0.0000 0.0000 (multiplicity 4)
H1 0.0000 0.0000 0.3025 (multiplicity 24)
Ir1 0.0000 0.0000 0.5000 (multiplicity 4)

Computed properties:
The density of states at the Fermi level comes out at 0.000 states/eV per atom. The value obtained for the calculated density is 4.98 Mg/m³. The total energy is -3.50 eV/atom. The value obtained for the total moment is 0.2 μB/f.u.

No. 5
Density functional theory data (PBE) for crystalline Sr3LiI at its relaxed geometry.

a b c (Å): 6.3001 6.3001 6.3001
angles (deg): 90.00 90.00 90.00
Space group Pm-3m (No. 221)
Asymmetric unit:
Sr1 0.0000 0.0000 0.5000 (multiplicity 3)
Li1 0.0000 0.0000 0.0000 (multiplicity 1)
I1 0.5000 0.5000 0.5000 (multiplicity 1)

Computed properties:
As for the excess energy over the best structure of this formula in the dataset: 0.0 meV/atom. The density of states at the Fermi level comes out at 1.046 states/eV per atom. The value obtained for the calculated density is 2.63 Mg/m³. As for the formation energy without anion corrections: -0.132 eV per atom. The total energy is -1.83 eV/atom. The value obtained for the total moment is 0.0 μB/f.u.

No. 6
Density functional theory data (PBE) for crystalline Nd2DyTmSe5 at its relaxed geometry.

a b c (Å): 5.0687 5.0687 10.6954
angles (deg): 90.00 90.00 90.00
Space group P4/mmm (No. 123)
Asymmetric unit:
Nd1 0.0000 0.0000 0.1908 (multiplicity 2)
Dy1 0.5000 0.5000 0.5000 (multiplicity 1)
Tm1 0.5000 0.5000 0.0000 (multiplicity 1)
Se1 0.0000 0.0000 0.5000 (multiplicity 1)
Se2 0.0000 0.5000 0.0000 (multiplicity 2)
Se3 0.5000 0.5000 0.2534 (multiplicity 2)

Computed properties:
The density of states at the Fermi level comes out at 0.757 states/eV per atom. The value obtained for the calculated density is 6.13 Mg/m³. As for the formation energy without anion corrections: -1.291 eV per atom. The total energy is -5.29 eV/atom. The value obtained for the total moment is 0.0 μB/f.u.

No. 7
Density functional theory data (PBE) for crystalline ScPPt2 at its relaxed geometry.

a b c (Å): 3.3077 3.9530 5.3417
angles (deg): 90.00 90.00 90.00
Space group Pmmm (No. 47)
Asymmetric unit:
Sc1 0.0000 0.0000 0.0000 (multiplicity 1)
P1 0.5000 0.0000 0.5000 (multiplicity 1)
Pt1 0.5000 0.5000 0.2473 (multiplicity 2)

Computed properties:
As for the formation energy: -82 kJ/mol of atoms. The density of states at the Fermi level comes out at 0.511 states/eV per atom. The value obtained for the calculated density is 11.08 Mg/m³. The total energy is -6.81 eV/atom. The value obtained for the total moment is 0.0 μB/f.u.

No. 8
Density functional theory data (PBE) for crystalline Tl2PCl6 at its relaxed geometry.

a b c (Å): 11.9374 6.9038 6.2777
angles (deg): 90.00 91.11 90.00
Space group C2/m (No. 12)
Asymmetric unit:
Tl1 0.1684 0.0000 0.1996 (multiplicity 4)
P1 0.0000 0.5000 0.0000 (multiplicity 2)
Cl1 0.0773 0.2634 0.7911 (multiplicity 8)
Cl2 0.1597 0.5000 0.2109 (multiplicity 4)

Computed properties:
As for the excess energy over the best structure of this formula in the dataset: 20.3 meV/atom. The density of states at the Fermi level comes out at 0.388 states/eV per atom. The value obtained for the calculated density is 4.19 Mg/m³. As for the formation energy without anion corrections: -0.713 eV per atom. The total energy is -3.07 eV/atom. The value obtained for the total moment is 0.0 μB/f.u.